Computed, not measured: a relaxed structure of Fe2CoSnC at the GGA-PBE level of DFT.

a b c (Å): 3.839 3.839 3.840
angles (deg): 90.00 90.00 90.00
Space group P4/mmm (No. 123)
Symmetry-distinct sites (fractional):
Fe 0.000 0.500 0.000 (multiplicity 2)
Co 0.000 0.000 0.500 (multiplicity 1)
Sn 0.500 0.500 0.500 (multiplicity 1)
C 0.000 0.000 0.000 (multiplicity 1)

Computed, not measured: a relaxed structure of TbFeCoC2 at the GGA-PBE level of DFT.

a b c (Å): 3.392 3.392 9.845
angles (deg): 90.00 90.00 90.00
Space group I-4m2 (No. 119)
Symmetry-distinct sites (fractional):
Tb 0.000 0.000 0.000 (multiplicity 2)
Fe 0.000 0.500 0.750 (multiplicity 2)
Co 0.000 0.500 0.250 (multiplicity 2)
C 0.000 0.000 0.346 (multiplicity 4)

Computed, not measured: a relaxed structure of TiFeCo2C at the GGA-PBE level of DFT.

a b c (Å): 3.745 3.745 3.761
angles (deg): 90.00 90.00 90.00
Space group P4/mmm (No. 123)
Symmetry-distinct sites (fractional):
Ti 0.000 0.000 0.000 (multiplicity 1)
Fe 0.500 0.500 0.000 (multiplicity 1)
Co 0.000 0.500 0.500 (multiplicity 2)
C 0.500 0.500 0.500 (multiplicity 1)

Computed, not measured: a relaxed structure of VFeCo2C at the GGA-PBE level of DFT.

a b c (Å): 4.321 4.321 3.521
angles (deg): 90.00 90.00 90.00
Space group P4/mmm (No. 123)
Symmetry-distinct sites (fractional):
V 0.000 0.000 0.000 (multiplicity 1)
Fe 0.500 0.500 0.500 (multiplicity 1)
Co 0.000 0.500 0.500 (multiplicity 2)
C 0.500 0.500 0.000 (multiplicity 1)

Computed, not measured: a relaxed structure of YFeCo2C at the GGA-PBE level of DFT.

a b c (Å): 3.922 3.922 3.918
angles (deg): 90.00 90.00 90.00
Space group P4/mmm (No. 123)
Symmetry-distinct sites (fractional):
Y 0.000 0.000 0.000 (multiplicity 1)
Fe 0.500 0.500 0.000 (multiplicity 1)
Co 0.000 0.500 0.500 (multiplicity 2)
C 0.500 0.500 0.500 (multiplicity 1)

Computed, not measured: a relaxed structure of Y2FeCoC at the GGA-PBE level of DFT.

a b c (Å): 4.968 4.968 3.592
angles (deg): 90.00 90.00 90.00
Space group P4/mmm (No. 123)
Symmetry-distinct sites (fractional):
Y 0.000 0.500 0.000 (multiplicity 2)
Fe 0.000 0.000 0.500 (multiplicity 1)
Co 0.500 0.500 0.500 (multiplicity 1)
C 0.500 0.500 0.000 (multiplicity 1)

Computed, not measured: a relaxed structure of Y2FeCoC at the GGA-PBE level of DFT.

a b c (Å): 4.925 4.925 3.611
angles (deg): 90.00 90.00 90.00
Space group P4/mmm (No. 123)
Symmetry-distinct sites (fractional):
Y 0.000 0.500 0.000 (multiplicity 2)
Fe 0.000 0.000 0.500 (multiplicity 1)
Co 0.500 0.500 0.500 (multiplicity 1)
C 0.000 0.000 0.000 (multiplicity 1)

Computed, not measured: a relaxed structure of ZnFeCo2C at the GGA-PBE level of DFT.

a b c (Å): 3.751 3.751 3.755
angles (deg): 90.00 90.00 90.00
Space group P4/mmm (No. 123)
Symmetry-distinct sites (fractional):
Zn 0.000 0.000 0.000 (multiplicity 1)
Fe 0.500 0.500 0.000 (multiplicity 1)
Co 0.000 0.500 0.500 (multiplicity 2)
C 0.500 0.500 0.500 (multiplicity 1)

Computed, not measured: a relaxed structure of ZrFe2CoC at the GGA-PBE level of DFT.

a b c (Å): 3.857 3.857 3.829
angles (deg): 90.00 90.00 90.00
Space group P4/mmm (No. 123)
Symmetry-distinct sites (fractional):
Zr 0.000 0.000 0.000 (multiplicity 1)
Fe 0.000 0.500 0.500 (multiplicity 2)
Co 0.500 0.500 0.000 (multiplicity 1)
C 0.500 0.500 0.500 (multiplicity 1)

Computed, not measured: a relaxed structure of GaCoC3 at the GGA-PBE level of DFT.

a b c (Å): 3.909 3.909 3.909
angles (deg): 90.00 90.00 90.00
Space group Pm-3m (No. 221)
Symmetry-distinct sites (fractional):
Ga 0.000 0.000 0.000 (multiplicity 1)
Co 0.500 0.500 0.500 (multiplicity 1)
C 0.000 0.000 0.500 (multiplicity 3)

Computed, not measured: a relaxed structure of Ga2CoC at the GGA-PBE level of DFT.

a b c (Å): 7.823 7.823 3.644
angles (deg): 90.00 90.00 90.00
Space group I-42d (No. 122)
Symmetry-distinct sites (fractional):
Ga 0.122 0.750 0.125 (multiplicity 8)
Co 0.000 0.000 0.500 (multiplicity 4)
C 0.000 0.000 0.000 (multiplicity 4)

Computed, not measured: a relaxed structure of GaCoC2 at the GGA-PBE level of DFT.

a b c (Å): 4.471 4.471 9.044
angles (deg): 90.00 90.00 90.00
Space group I-42d (No. 122)
Symmetry-distinct sites (fractional):
Ga 0.000 0.000 0.000 (multiplicity 4)
Co 0.000 0.000 0.500 (multiplicity 4)
C 0.208 0.250 0.625 (multiplicity 8)

Computed, not measured: a relaxed structure of GaCoC3 at the GGA-PBE level of DFT.

a b c (Å): 3.780 3.780 3.780
angles (deg): 90.00 90.00 90.00
Space group Pm-3m (No. 221)
Symmetry-distinct sites (fractional):
Ga 0.000 0.000 0.000 (multiplicity 1)
Co 0.500 0.500 0.500 (multiplicity 1)
C 0.000 0.500 0.500 (multiplicity 3)

Computed, not measured: a relaxed structure of Ga5Co12C2 at the GGA-PBE level of DFT.

a b c (Å): 13.031 5.483 6.725
angles (deg): 90.00 110.03 90.00
Space group C2/m (No. 12)
Symmetry-distinct sites (fractional):
Ga 0.000 0.000 0.000 (multiplicity 2)
Ga 0.245 0.000 0.006 (multiplicity 4)
Ga 0.248 0.000 0.487 (multiplicity 4)
Co 0.027 0.500 0.326 (multiplicity 4)
Co 0.042 0.000 0.362 (multiplicity 4)
Co 0.144 0.248 0.695 (multiplicity 8)
Co 0.147 0.278 0.173 (multiplicity 8)
C 0.000 0.256 0.500 (multiplicity 4)

Computed, not measured: a relaxed structure of HoGaCo2C at the GGA-PBE level of DFT.

a b c (Å): 3.782 10.582 6.894
angles (deg): 90.00 90.00 90.00
Space group Cmcm (No. 63)
Symmetry-distinct sites (fractional):
Ho 0.000 0.050 0.250 (multiplicity 4)
Ga 0.000 0.230 0.750 (multiplicity 4)
Co 0.000 0.340 0.059 (multiplicity 8)
C 0.000 0.500 0.000 (multiplicity 4)

Computed, not measured: a relaxed structure of Ho2GaCoC at the GGA-PBE level of DFT.

a b c (Å): 6.176 3.897 8.251
angles (deg): 90.00 109.83 90.00
Space group P2_1/m (No. 11)
Symmetry-distinct sites (fractional):
Ho 0.219 0.250 0.468 (multiplicity 2)
Ho 0.227 0.250 0.880 (multiplicity 2)
Ga 0.291 0.750 0.198 (multiplicity 2)
Co 0.496 0.750 0.758 (multiplicity 2)
C 0.191 0.750 0.670 (multiplicity 2)

Computed, not measured: a relaxed structure of Ho2Ga3Co5C2 at the GGA-PBE level of DFT.

a b c (Å): 3.852 3.852 21.929
angles (deg): 90.00 90.00 90.00
Space group I4/mmm (No. 139)
Symmetry-distinct sites (fractional):
Ho 0.000 0.000 0.198 (multiplicity 4)
Ga 0.000 0.000 0.345 (multiplicity 4)
Ga 0.000 0.000 0.500 (multiplicity 2)
Co 0.000 0.000 0.000 (multiplicity 2)
Co 0.000 0.500 0.082 (multiplicity 8)
C 0.000 0.000 0.086 (multiplicity 4)

Computed, not measured: a relaxed structure of La2Ga2Co2C at the GGA-PBE level of DFT.

a b c (Å): 11.246 4.149 7.257
angles (deg): 90.00 129.23 90.00
Space group C2/m (No. 12)
Symmetry-distinct sites (fractional):
La 0.053 0.000 0.292 (multiplicity 4)
Ga 0.177 0.500 0.741 (multiplicity 4)
Co 0.186 0.500 0.084 (multiplicity 4)
C 0.000 0.500 0.000 (multiplicity 2)

Computed, not measured: a relaxed structure of La2GaCoC at the GGA-PBE level of DFT.

a b c (Å): 5.383 5.383 3.659
angles (deg): 90.00 90.00 90.00
Space group P4/mmm (No. 123)
Symmetry-distinct sites (fractional):
La 0.000 0.500 0.000 (multiplicity 2)
Ga 0.000 0.000 0.500 (multiplicity 1)
Co 0.500 0.500 0.500 (multiplicity 1)
C 0.500 0.500 0.000 (multiplicity 1)

Computed, not measured: a relaxed structure of LaGaCo2C at the GGA-PBE level of DFT.

a b c (Å): 4.068 10.790 6.926
angles (deg): 90.00 90.00 90.00
Space group Cmcm (No. 63)
Symmetry-distinct sites (fractional):
La 0.000 0.059 0.250 (multiplicity 4)
Ga 0.000 0.224 0.750 (multiplicity 4)
Co 0.000 0.342 0.063 (multiplicity 8)
C 0.000 0.500 0.000 (multiplicity 4)

Computed, not measured: a relaxed structure of La2GaCoC at the GGA-PBE level of DFT.

a b c (Å): 6.493 4.087 8.877
angles (deg): 90.00 110.96 90.00
Space group P2_1/m (No. 11)
Symmetry-distinct sites (fractional):
La 0.219 0.250 0.384 (multiplicity 2)
La 0.224 0.250 0.965 (multiplicity 2)
Ga 0.317 0.750 0.701 (multiplicity 2)
Co 0.489 0.750 0.258 (multiplicity 2)
C 0.197 0.750 0.174 (multiplicity 2)

Computed, not measured: a relaxed structure of MnGaCo2C at the GGA-PBE level of DFT.

a b c (Å): 3.771 3.771 3.776
angles (deg): 90.00 90.00 90.00
Space group P4/mmm (No. 123)
Symmetry-distinct sites (fractional):
Mn 0.000 0.000 0.000 (multiplicity 1)
Ga 0.500 0.500 0.000 (multiplicity 1)
Co 0.000 0.500 0.500 (multiplicity 2)
C 0.000 0.000 0.500 (multiplicity 1)

Computed, not measured: a relaxed structure of Mn2Ga2Co4C at the GGA-PBE level of DFT.

a b c (Å): 5.386 5.386 6.988
angles (deg): 90.00 90.00 90.00
Space group I4/mmm (No. 139)
Symmetry-distinct sites (fractional):
Mn 0.000 0.000 0.223 (multiplicity 4)
Ga 0.000 0.500 0.250 (multiplicity 4)
Co 0.249 0.249 0.500 (multiplicity 8)
C 0.000 0.000 0.500 (multiplicity 2)

Computed, not measured: a relaxed structure of GaCo2MoC at the GGA-PBE level of DFT.

a b c (Å): 3.806 3.806 4.123
angles (deg): 90.00 90.00 90.00
Space group P4/mmm (No. 123)
Symmetry-distinct sites (fractional):
Ga 0.000 0.000 0.000 (multiplicity 1)
Co 0.000 0.500 0.500 (multiplicity 2)
Mo 0.500 0.500 0.000 (multiplicity 1)
C 0.500 0.500 0.500 (multiplicity 1)

Computed, not measured: a relaxed structure of NbGaCo2C at the GGA-PBE level of DFT.

a b c (Å): 3.835 3.835 4.273
angles (deg): 90.00 90.00 90.00
Space group P4/mmm (No. 123)
Symmetry-distinct sites (fractional):
Nb 0.000 0.000 0.000 (multiplicity 1)
Ga 0.500 0.500 0.000 (multiplicity 1)
Co 0.000 0.500 0.500 (multiplicity 2)
C 0.000 0.000 0.500 (multiplicity 1)

Computed, not measured: a relaxed structure of Nd2GaCoC at the GGA-PBE level of DFT.

a b c (Å): 6.360 4.033 8.667
angles (deg): 90.00 110.10 90.00
Space group P2_1/m (No. 11)
Symmetry-distinct sites (fractional):
Nd 0.220 0.250 0.383 (multiplicity 2)
Nd 0.224 0.250 0.966 (multiplicity 2)
Ga 0.309 0.750 0.701 (multiplicity 2)
Co 0.491 0.750 0.257 (multiplicity 2)
C 0.197 0.750 0.172 (multiplicity 2)

| no. | calculated formation energy (eV/atom) |
| --- | --- |
| 1 | 0.034 |
| 2 | -0.205 |
| 3 | -0.212 |
| 4 | 1.241 |
| 5 | -0.089 |
| 6 | -0.074 |
| 7 | -0.119 |
| 8 | 0.009 |
| 9 | -0.211 |
| 10 | 2.975 |
| 11 | 0.483 |
| 12 | 0.835 |
| 13 | 2.017 |
| 14 | 0.123 |
| 15 | -0.389 |
| 16 | -0.377 |
| 17 | -0.262 |
| 18 | -0.456 |
| 19 | -0.311 |
| 20 | -0.292 |
| 21 | -0.283 |
| 22 | -0.095 |
| 23 | -0.165 |
| 24 | -0.025 |
| 25 | -0.097 |
| 26 | -0.284 |